# 1
A relaxed Hf2Sc2O5 crystal, computed with PBE-GGA.

Cell lengths 3.496, 3.496, 9.406 Å; angles 90.00, 90.00, 90.00 degrees
Positions (direct):
Hf: 0.000 0.000 0.000
Hf: 0.000 0.000 0.500
Sc: 0.500 0.500 0.248
Sc: 0.500 0.500 0.752
O: 0.000 0.500 0.135
O: 0.000 0.500 0.865
O: 0.500 0.000 0.135
O: 0.500 0.000 0.865
O: 0.500 0.500 0.500

energy above the lowest structure with this stoichiometry = 0.000 eV/atom
space-group type = No. 123



# 2
A relaxed Hf2Sc2O5 crystal, computed with PBE-GGA.

Cell lengths 4.060, 4.060, 7.259 Å; angles 90.00, 90.00, 90.00 degrees
Positions (direct):
Hf: 0.000 0.000 0.218
Hf: 0.000 0.000 0.782
Sc: 0.500 0.500 0.000
Sc: 0.500 0.500 0.500
O: 0.000 0.000 0.500
O: 0.000 0.500 0.218
O: 0.000 0.500 0.782
O: 0.500 0.000 0.218
O: 0.500 0.000 0.782

energy above the lowest structure with this stoichiometry = 0.194 eV/atom
space-group type = No. 123



Q: The lowest energy above the lowest structure with this stoichiometry belongs to which entry?
A: number 1



Q: The lowest energy above the lowest structure with this stoichiometry belongs to which entry?
A: number 1



Q: Which formula does entry 2 have?
A: Hf2Sc2O5



Please write out number 1 again, unchanged.
A relaxed Hf2Sc2O5 crystal, computed with PBE-GGA.

Cell lengths 3.496, 3.496, 9.406 Å; angles 90.00, 90.00, 90.00 degrees
Positions (direct):
Hf: 0.000 0.000 0.000
Hf: 0.000 0.000 0.500
Sc: 0.500 0.500 0.248
Sc: 0.500 0.500 0.752
O: 0.000 0.500 0.135
O: 0.000 0.500 0.865
O: 0.500 0.000 0.135
O: 0.500 0.000 0.865
O: 0.500 0.500 0.500

energy above the lowest structure with this stoichiometry = 0.000 eV/atom
space-group type = No. 123